Record 1
{"formula": "Ac2LaSm8", "functional": "GGA-PBE", "state": "optimized geometry", "mass_density_g_cm3": 7.51, "final_energy_ha_per_atom": -0.16871, "relative_energy_kj_per_mol_atoms": 0.00, "ef_mev_per_atom": 36, "magmom_total_mub_per_cell": 0.0, "space_group": "C2/m", "cell": [[5.092, 0.000, -1.356], [-0.548, 8.019, -2.056], [-0.122, -0.104, 9.779]], "species": ["Sm", "Sm", "Sm", "Sm", "La", "Sm", "Ac", "Sm", "Ac", "Sm", "Sm"], "frac_coords": [[0.134, 0.173, 0.269], [0.321, 0.095, 0.641], [0.866, 0.827, 0.731], [0.958, 0.274, 0.915], [0.500, 0.000, 0.000], [0.042, 0.726, 0.085], [0.773, 0.359, 0.546], [0.588, 0.454, 0.176], [0.227, 0.641, 0.454], [0.679, 0.905, 0.359], [0.412, 0.546, 0.824]]}

***

Record 2
{"formula": "FeHgGe3", "functional": "GGA-PBE", "state": "optimized geometry", "mass_density_g_cm3": 7.98, "final_energy_ha_per_atom": -0.15917, "ef_mev_per_atom": 192, "magmom_total_mub_per_cell": 0.0, "space_group": "Pm-3m", "cell": [[-0.158, 3.840, 2.567], [-4.383, -0.935, 1.129], [1.458, -2.396, 3.674]], "species": ["Ge", "Ge", "Fe", "Hg", "Ge"], "frac_coords": [[0.000, 0.000, 0.500], [0.000, 0.500, 0.000], [0.000, 0.000, 0.000], [0.500, 0.500, 0.500], [0.500, 0.000, 0.000]]}

***

Q: Which formula does entry 2 have?
A: FeHgGe3

***

Q: What is the formula in the first record?
A: Ac2LaSm8